Entry 1:
Entry from Alexandria via LeMat-Bulk: crystalline Re2RuRh at its relaxed geometry (PBE-GGA).

## Properties
Total energy   -10.415 eV per atom
Relative energy among the computed polymorphs   112.6 meV/atom
Energy of formation   -34 meV per atom
M_tot   0.00 μB/cell

a b c (Å): 3.8491 3.8491 3.9000
angles (deg): 90.00 90.00 90.00
Last column: nearest neighbours and their distance in Å.
Positions (direct):
Re (0.0000, 0.0000, 0.0000)  4 Re 2.72, 4 Ru 2.74, 4 Rh 2.74
Re (0.5000, 0.5000, 0.0000)  4 Re 2.72, 4 Ru 2.74, 4 Rh 2.74
Rh (0.5000, 0.0000, 0.5000)  4 Ru 2.72, 8 Re 2.74
Ru (0.0000, 0.5000, 0.5000)  4 Rh 2.72, 8 Re 2.74



Entry 2:
Entry from Alexandria via LeMat-Bulk: crystalline PmHo2ThSb4 at its relaxed geometry (PBE-GGA).

## Properties
Total energy   -5.822 eV per atom
E_form (uncorrected)   -8.76 eV per formula unit
M_tot   0.00 μB/cell

a b c (Å): 4.4437 7.6588 7.6856
angles (deg): 70.49 90.00 90.00
Last column: nearest neighbours and their distance in Å.
Positions (direct):
Pm (0.5000, 0.5000, 0.0000)  6 Sb 3.17
Ho (0.0000, 0.0000, 0.0000)  6 Sb 3.10
Ho (0.5000, 0.0000, 0.5000)  6 Sb 3.10
Th (0.0000, 0.5000, 0.5000)  6 Sb 3.17-3.18
Sb (0.0000, 0.7584, 0.7473)  3 Ho 3.10, 1 Th 3.17, 2 Pm 3.17
Sb (0.0000, 0.2416, 0.2527)  3 Ho 3.10, 1 Th 3.17, 2 Pm 3.17
Sb (0.5000, 0.7593, 0.2464)  3 Ho 3.10, 1 Pm 3.17, 2 Th 3.18
Sb (0.5000, 0.2407, 0.7536)  3 Ho 3.10, 1 Pm 3.17, 2 Th 3.18



Entry 3:
Entry from Alexandria via LeMat-Bulk: crystalline BeCrSe2 at its relaxed geometry (PBE-GGA).

## Properties
Total energy   -5.231 eV per atom
E_form (uncorrected)   -0.60 eV per formula unit
M_tot   2.06 μB/cell

a b c (Å): 7.2961 7.2961 7.2961
angles (deg): 154.32 154.04 36.84
Last column: nearest neighbours and their distance in Å.
Positions (direct):
Cr (0.1754, 0.6754, 0.5000)  2 Be 2.43, 6 Se 2.56-2.67
Se (0.0225, 0.0225, 0.0000)  4 Be 2.33
Se (0.7566, 0.2566, 0.5000)  4 Cr 2.56
Be (0.5454, 0.5454, 0.0000)  4 Se 2.33, 2 Cr 2.43



Entry 4:
Entry from Alexandria via LeMat-Bulk: crystalline Zr4BeSb at its relaxed geometry (PBE-GGA).

## Properties
Total energy   -6.562 eV per atom
E_form (uncorrected)   2.67 eV per formula unit
M_tot   0.00 μB/cell

a b c (Å): 5.7324 5.7324 5.7324
angles (deg): 60.00 60.00 60.00
Last column: nearest neighbours and their distance in Å.
Positions (direct):
Zr (0.8722, 0.3759, 0.3759)  6 Zr 2.84-2.89
Zr (0.3759, 0.3759, 0.8722)  6 Zr 2.84-2.89
Zr (0.3759, 0.8722, 0.3759)  6 Zr 2.84-2.89
Zr (0.3759, 0.3759, 0.3759)  6 Zr 2.84-2.89
Be (0.7500, 0.7500, 0.7500)  12 Zr 3.36, 4 Sb 3.51
Sb (0.0000, 0.0000, 0.0000)  12 Zr 3.36, 4 Be 3.51



Entry 5:
Entry from Alexandria via LeMat-Bulk: crystalline Rb12Na3Cl5 at its relaxed geometry (PBE-GGA).

## Properties
Total energy   -2.098 eV per atom
E_form (uncorrected)   -17.17 eV per formula unit
M_tot   0.00 μB/cell

a b c (Å): 18.6965 18.6965 18.6965
angles (deg): 109.47 109.47 109.47
Last column: nearest neighbours and their distance in Å.
Positions (direct):
Na (0.7500, 0.3750, 0.1250)  8 Rb 4.22-4.39
Na (0.8750, 0.7500, 0.1250)  8 Rb 4.22-4.39
Na (0.3750, 0.7500, 0.6250)  8 Rb 4.22-4.39
Na (0.2500, 0.1250, 0.3750)  8 Rb 4.22-4.39
Na (0.8750, 0.1250, 0.2500)  8 Rb 4.22-4.39
Na (0.3750, 0.6250, 0.2500)  8 Rb 4.22-4.39
Na (0.6250, 0.3750, 0.7500)  8 Rb 4.22-4.39
Na (0.1250, 0.8750, 0.7500)  8 Rb 4.22-4.39
Na (0.7500, 0.8750, 0.6250)  8 Rb 4.22-4.39
Na (0.6250, 0.2500, 0.3750)  8 Rb 4.22-4.39
Na (0.1250, 0.2500, 0.8750)  8 Rb 4.22-4.39
Na (0.2500, 0.6250, 0.8750)  8 Rb 4.22-4.39
Cl (0.1250, 0.3750, 0.2500)  4 Rb 3.18
Cl (0.0000, 0.5000, 0.0000)  6 Rb 3.42
Cl (0.0000, 0.0000, 0.0000)  6 Rb 3.42
Cl (0.3750, 0.2500, 0.1250)  4 Rb 3.18
Cl (0.5000, 0.0000, 0.5000)  6 Rb 3.42
Cl (0.5000, 0.5000, 0.0000)  6 Rb 3.42
Cl (0.1250, 0.7500, 0.3750)  4 Rb 3.18
Cl (0.7500, 0.1250, 0.8750)  4 Rb 3.18
Cl (0.7500, 0.6250, 0.3750)  4 Rb 3.18
Cl (0.3750, 0.1250, 0.7500)  4 Rb 3.18
Cl (0.6250, 0.8750, 0.2500)  4 Rb 3.18
Cl (0.5000, 0.5000, 0.5000)  6 Rb 3.42
Cl (0.5000, 0.0000, 0.0000)  6 Rb 3.42
Cl (0.0000, 0.0000, 0.5000)  6 Rb 3.42
Cl (0.2500, 0.3750, 0.6250)  4 Rb 3.18
Cl (0.2500, 0.8750, 0.1250)  4 Rb 3.18
Cl (0.0000, 0.5000, 0.5000)  6 Rb 3.42
Cl (0.8750, 0.2500, 0.6250)  4 Rb 3.18
Cl (0.6250, 0.7500, 0.8750)  4 Rb 3.18
Cl (0.8750, 0.6250, 0.7500)  4 Rb 3.18
Rb (0.6970, 0.1134, 0.0175)  2 Cl 3.18-3.42
Rb (0.3206, 0.5175, 0.4041)  2 Cl 3.18-3.42
Rb (0.9825, 0.3866, 0.3030)  2 Cl 3.18-3.42
Rb (0.5175, 0.1970, 0.1134)  2 Cl 3.18-3.42
Rb (0.5836, 0.6970, 0.6794)  2 Cl 3.18-3.42
Rb (0.9825, 0.5959, 0.1794)  2 Cl 3.18-3.42
Rb (0.3206, 0.8030, 0.4164)  2 Cl 3.18-3.42
Rb (0.0959, 0.9164, 0.1134)  2 Cl 3.18-3.42
Rb (0.5959, 0.9825, 0.6794)  2 Cl 3.18-3.42
Rb (0.6970, 0.5836, 0.1794)  2 Cl 3.18-3.42
Rb (0.8030, 0.4825, 0.3866)  2 Cl 3.18-3.42
Rb (0.8206, 0.9041, 0.0175)  2 Cl 3.18-3.42
Rb (0.1134, 0.6970, 0.5175)  2 Cl 3.18-3.42
Rb (0.3866, 0.4041, 0.0836)  2 Cl 3.18-3.42
Rb (0.0836, 0.9041, 0.3866)  2 Cl 3.18-3.42
Rb (0.4164, 0.1134, 0.5959)  2 Cl 3.18-3.42
Rb (0.0836, 0.1794, 0.1970)  2 Cl 3.18-3.42
Rb (0.4825, 0.6794, 0.0959)  2 Cl 3.18-3.42
Rb (0.8206, 0.9164, 0.3030)  2 Cl 3.18-3.42
Rb (0.1134, 0.4164, 0.0959)  2 Cl 3.18-3.42
Rb (0.3866, 0.9825, 0.8030)  2 Cl 3.18-3.42
Rb (0.5959, 0.6134, 0.4164)  2 Cl 3.18-3.42
Rb (0.9041, 0.8206, 0.5175)  2 Cl 3.18-3.42
Rb (0.8030, 0.3206, 0.9164)  2 Cl 3.18-3.42
Rb (0.4041, 0.3866, 0.5836)  2 Cl 3.18-3.42
Rb (0.0959, 0.1794, 0.4825)  2 Cl 3.18-3.42
Rb (0.1970, 0.6794, 0.0836)  2 Cl 3.18-3.42
Rb (0.1794, 0.0836, 0.6970)  2 Cl 3.18-3.42
Rb (0.6134, 0.0175, 0.1970)  2 Cl 3.18-3.42
Rb (0.8866, 0.5836, 0.9041)  2 Cl 3.18-3.42
Rb (0.5175, 0.3206, 0.9041)  2 Cl 3.18-3.42
Rb (0.5836, 0.8866, 0.4041)  2 Cl 3.18-3.42
Rb (0.9164, 0.8206, 0.8030)  2 Cl 3.18-3.42
Rb (0.9164, 0.0959, 0.6134)  2 Cl 3.18-3.42
Rb (0.8866, 0.3030, 0.4825)  2 Cl 3.18-3.42
Rb (0.1794, 0.0959, 0.9825)  2 Cl 3.18-3.42
Rb (0.6134, 0.5959, 0.9164)  2 Cl 3.18-3.42
Rb (0.4041, 0.0175, 0.3206)  2 Cl 3.18-3.42
Rb (0.3030, 0.4164, 0.8206)  2 Cl 3.18-3.42
Rb (0.1970, 0.5175, 0.6134)  2 Cl 3.18-3.42
Rb (0.9041, 0.0836, 0.8866)  2 Cl 3.18-3.42
Rb (0.6794, 0.1970, 0.5836)  2 Cl 3.18-3.42
Rb (0.4825, 0.8030, 0.8866)  2 Cl 3.18-3.42
Rb (0.0175, 0.4041, 0.8206)  2 Cl 3.18-3.42
Rb (0.4164, 0.3030, 0.3206)  2 Cl 3.18-3.42
Rb (0.0175, 0.6134, 0.6970)  2 Cl 3.18-3.42
Rb (0.6794, 0.4825, 0.5959)  2 Cl 3.18-3.42
Rb (0.3030, 0.8866, 0.9825)  2 Cl 3.18-3.42



Entry 6:
Entry from Alexandria via LeMat-Bulk: crystalline Co2TeAsI at its relaxed geometry (PBE-GGA).

## Properties
Total energy   -3.528 eV per atom
E_form (uncorrected)   5.92 eV per formula unit
M_tot   3.57 μB/cell

a b c (Å): 4.6913 6.4580 4.6913
angles (deg): 90.00 90.00 90.00
Last column: nearest neighbours and their distance in Å.
Positions (direct):
I (0.0000, 0.5000, 0.0000)  2 Te 3.23, 4 As 3.32
As (0.5000, 0.5000, 0.5000)  4 I 3.32
Te (0.0000, 0.0000, 0.0000)  4 Co 2.35
Co (0.0000, 0.0000, 0.5000)  2 Te 2.35
Co (0.5000, 0.0000, 0.0000)  2 Te 2.35



Entry 7:
Entry from Alexandria via LeMat-Bulk: crystalline Pm2CdIr at its relaxed geometry (PBE-GGA).

## Properties
Total energy   -5.263 eV per atom
Relative energy among the computed polymorphs   78.6 meV/atom
Energy of formation   -444 meV per atom
M_tot   0.00 μB/cell

a b c (Å): 4.1940 4.1940 8.0840
angles (deg): 74.97 74.97 60.00
Last column: nearest neighbours and their distance in Å.
Positions (direct):
Pm (0.0643, 0.0643, 0.8071)  3 Ir 2.86
Pm (0.2691, 0.2691, 0.1928)  3 Ir 2.82
Cd (0.5013, 0.5013, 0.4960)  6 Pm 3.37-3.41
Ir (0.6653, 0.6653, 0.0042)  6 Pm 2.82-2.86



Entry 8:
Entry from Alexandria via LeMat-Bulk: crystalline Tb6Mg5Hg at its relaxed geometry (PBE-GGA).

## Properties
Total energy   -3.155 eV per atom
Energy of formation   -150 meV per atom
M_tot   0.00 μB/cell

a b c (Å): 5.3585 7.5349 8.4836
angles (deg): 90.00 71.59 90.00
Last column: nearest neighbours and their distance in Å.
Positions (direct):
Mg (0.6678, 0.5000, 0.6643)  8 Tb 3.27-3.31
Mg (0.3280, 0.0000, 0.3440)  8 Tb 3.23-3.34
Mg (0.0000, 0.5000, 0.0000)  8 Tb 3.25-3.29
Mg (0.6720, 0.0000, 0.6560)  8 Tb 3.23-3.34
Mg (0.3322, 0.5000, 0.3357)  8 Tb 3.27-3.31
Tb (0.8351, 0.7494, 0.3299)  7 Mg 3.23-3.28, 1 Hg 3.26
Tb (0.8350, 0.2506, 0.3299)  7 Mg 3.23-3.28, 1 Hg 3.26
Tb (0.5000, 0.2472, 0.0000)  2 Hg 3.26, 6 Mg 3.29-3.34
Tb (0.5000, 0.7528, 0.0000)  2 Hg 3.26, 6 Mg 3.29-3.34
Tb (0.1650, 0.7494, 0.6701)  7 Mg 3.23-3.28, 1 Hg 3.26
Tb (0.1649, 0.2506, 0.6701)  7 Mg 3.23-3.28, 1 Hg 3.26
Hg (0.0000, 0.0000, 0.0000)  8 Tb 3.26